1) Na2SrAl2: optimized geometry, PBE.

Cell and atoms, written as POSCAR:
```
Na2SrAl2
1.0
8.715 0.000 0.000
0.000 8.715 0.000
0.000 0.000 3.968
Al Sr Na
4 2 4
Cartesian
3.413 7.771 0.000
0.944 3.413 0.000
5.302 0.944 0.000
7.771 5.302 0.000
0.000 0.000 0.000
4.358 4.358 0.000
7.158 2.800 1.984
1.557 5.915 1.984
2.800 1.557 1.984
5.915 7.158 1.984
```

Computed properties:
Mass density   2.07 g/cm³
Volume   30.14 Å³ per atom
DOS at the Fermi energy   0.768 states/eV/atom
M_tot   0.000 μB per formula unit

=====

2) Na2SrAl2: optimized geometry, PBE.

Cell and atoms, written as POSCAR:
```
Na2SrAl2
1.0
-1.280 3.222 3.128
-4.460 -1.289 -0.497
-2.086 -3.741 6.486
Al Sr Na
2 1 2
Cartesian
-2.727 0.110 2.256
-5.098 -1.918 6.861
0.000 0.000 0.000
-3.118 0.224 5.465
-4.708 -2.032 3.652
```

Computed properties:
Mass density   2.03 g/cm³
Volume   30.68 Å³ per atom
DOS at the Fermi energy   1.067 states/eV/atom
M_tot   0.000 μB per formula unit

=====

Of them, 1) has the lowest stability.

=====

1) NaSrAl2: optimized geometry, PBE.

Cell and atoms, written as POSCAR:
```
NaSrAl2
1.0
0.735 1.210 5.159
2.071 4.740 1.367
-3.083 3.689 2.348
Na Al Sr
1 2 1
Cartesian
0.000 0.000 0.000
-0.207 7.230 6.656
-0.069 2.410 2.219
-0.138 4.820 4.437
```

Computed properties:
Mass density   2.52 g/cm³
Volume   27.08 Å³ per atom
DOS at the Fermi energy   0.631 states/eV/atom
M_tot   0.000 μB per formula unit

=====

2) NaSrAl2: optimized geometry, PBE.

Cell and atoms, written as POSCAR:
```
NaSrAl2
1.0
4.950 0.000 0.000
0.000 4.950 0.000
2.475 2.475 10.473
Al Na Sr
4 2 2
Cartesian
2.000 3.712 2.618
6.187 5.425 7.855
3.712 4.475 7.855
2.950 1.237 2.618
2.475 2.475 0.000
2.475 4.950 5.237
0.000 0.000 0.000
4.950 2.475 5.237
```

Computed properties:
Mass density   2.13 g/cm³
Volume   32.07 Å³ per atom
DOS at the Fermi energy   0.689 states/eV/atom
M_tot   0.000 μB per formula unit

=====

Of them, 2) has the lowest stability.

=====

1) NaTaAl2: optimized geometry, PBE.

Cell and atoms, written as POSCAR:
```
NaTaAl2
1.0
-3.509 -3.081 -0.399
-3.969 0.644 2.408
-3.933 1.206 -2.245
Al Na Ta
2 1 1
Cartesian
-8.559 -0.924 -0.177
-2.853 -0.308 -0.059
0.000 0.000 0.000
-5.706 -0.616 -0.118
```

Computed properties:
Mass density   5.88 g/cm³
Volume   18.20 Å³ per atom
DOS at the Fermi energy   0.229 states/eV/atom
M_tot   0.000 μB per formula unit

=====

2) NaTaAl2: optimized geometry, PBE.

Cell and atoms, written as POSCAR:
```
NaTaAl2
1.0
7.261 0.000 0.000
0.000 7.261 0.000
3.631 3.631 2.977
Al Ta Na
4 2 2
Cartesian
9.077 9.068 2.233
5.446 5.455 2.233
1.824 5.446 0.744
5.437 1.815 0.744
0.000 0.000 0.000
7.261 3.631 1.489
3.631 7.261 1.489
3.631 3.631 0.000
```

Computed properties:
Mass density   5.46 g/cm³
Volume   19.62 Å³ per atom
DOS at the Fermi energy   0.484 states/eV/atom
M_tot   0.000 μB per formula unit

=====

Of them, 2) has the lowest stability.

=====

1) NaTa3Al: optimized geometry, PBE.

Cell and atoms, written as POSCAR:
```
NaTa3Al
1.0
-4.083 -2.087 -0.725
1.911 -4.101 1.042
-1.109 0.618 4.466
Ta Na Al
3 1 1
Cartesian
-2.042 -1.044 -0.363
0.956 -2.050 0.521
-0.554 0.309 2.233
0.000 0.000 0.000
-1.640 -2.785 2.391
```

Computed properties:
Mass density   9.84 g/cm³
Volume   20.02 Å³ per atom
DOS at the Fermi energy   0.992 states/eV/atom
M_tot   0.000 μB per formula unit

=====

2) NaTa3Al: optimized geometry, PBE.

Cell and atoms, written as POSCAR:
```
NaTa3Al
1.0
4.825 0.000 0.000
0.000 4.825 0.000
0.000 0.000 4.825
Na Ta Al
1 3 1
Cartesian
2.412 2.412 2.412
0.000 0.000 2.412
0.000 2.412 0.000
2.412 0.000 0.000
0.000 0.000 0.000
```

Computed properties:
Mass density   8.77 g/cm³
Volume   22.46 Å³ per atom
DOS at the Fermi energy   1.383 states/eV/atom
M_tot   0.000 μB per formula unit

=====

Of them, 1) has the lowest stability.

=====

1) NaTb2Al: optimized geometry, PBE.

Cell and atoms, written as POSCAR:
```
NaTb2Al
1.0
3.533 0.000 0.000
1.767 3.060 0.000
1.767 1.020 11.591
Tb Na Al
2 1 1
Cartesian
5.300 3.060 3.574
1.767 1.020 8.016
0.000 0.000 0.000
3.533 2.040 5.795
```

Computed properties:
Mass density   4.87 g/cm³
Volume   31.33 Å³ per atom
DOS at the Fermi energy   0.894 states/eV/atom
M_tot   0.000 μB per formula unit

=====

2) NaTb2Al: optimized geometry, PBE.

Cell and atoms, written as POSCAR:
```
NaTb2Al
1.0
3.515 0.000 0.000
0.000 3.515 0.000
0.000 0.000 9.299
Tb Na Al
2 1 1
Cartesian
0.000 0.000 1.863
0.000 0.000 7.436
1.758 1.758 4.650
1.758 1.758 0.000
```

Computed properties:
Mass density   5.32 g/cm³
Volume   28.72 Å³ per atom
DOS at the Fermi energy   0.751 states/eV/atom
M_tot   0.000 μB per formula unit

=====

3) NaTb2Al: optimized geometry, PBE.

Cell and atoms, written as POSCAR:
```
NaTb2Al
1.0
-0.720 -1.839 4.923
-1.125 -5.125 0.779
3.615 -3.206 2.189
Na Al Tb
1 1 2
Cartesian
0.885 -5.084 3.946
0.000 0.000 0.000
0.442 -2.542 1.973
1.327 -7.627 5.919
```

Computed properties:
Mass density   5.79 g/cm³
Volume   26.38 Å³ per atom
DOS at the Fermi energy   1.099 states/eV/atom
M_tot   0.000 μB per formula unit

=====

Of them, 1) has the lowest stability.

=====

1) NaAlTc: optimized geometry, PBE.

Cell and atoms, written as POSCAR:
```
NaAlTc
1.0
-1.087 -2.644 -0.493
2.792 -0.553 -3.190
7.125 -2.836 7.253
Al Tc Na
2 2 2
Cartesian
4.152 -2.653 3.821
3.861 -1.841 0.070
4.561 -3.995 1.539
2.361 -3.148 1.858
0.958 -0.652 0.166
6.994 -4.009 3.690
```

Computed properties:
Mass density   3.79 g/cm³
Volume   21.63 Å³ per atom
DOS at the Fermi energy   0.603 states/eV/atom
M_tot   0.000 μB per formula unit

=====

2) NaAlTc: optimized geometry, PBE.

Cell and atoms, written as POSCAR:
```
NaAlTc
1.0
3.014 0.000 0.000
0.000 3.014 0.000
-0.022 0.000 12.848
Na Al Tc
2 2 2
Cartesian
0.743 2.261 11.260
2.248 0.754 1.588
2.250 0.754 8.786
0.742 2.261 4.062
0.743 2.261 7.186
2.249 0.754 5.662
```

Computed properties:
Mass density   4.21 g/cm³
Volume   19.45 Å³ per atom
DOS at the Fermi energy   0.560 states/eV/atom
M_tot   0.000 μB per formula unit

=====

3) NaAlTc: optimized geometry, PBE.

Cell and atoms, written as POSCAR:
```
NaAlTc
1.0
-2.255 0.563 1.640
-2.268 -1.847 -0.091
4.888 -8.320 11.540
Na Al Tc
2 2 2
Cartesian
2.398 -8.152 11.758
-2.707 -2.141 3.018
-0.400 -7.213 10.211
0.023 -3.108 4.554
-0.664 -4.695 6.626
1.731 -5.272 7.618
```

Computed properties:
Mass density   4.47 g/cm³
Volume   18.33 Å³ per atom
DOS at the Fermi energy   0.759 states/eV/atom
M_tot   0.000 μB per formula unit

=====

Of them, 3) has the lowest stability.

=====

1) NaAlTc: optimized geometry, PBE.

Cell and atoms, written as POSCAR:
```
NaAlTc
1.0
-2.131 -2.770 -3.124
-0.776 -1.643 1.986
-13.219 9.395 2.611
Al Tc Na
4 4 4
Cartesian
-2.655 -2.247 -1.072
-6.474 3.353 0.246
-8.877 3.272 -0.759
-13.471 7.229 2.545
-7.629 0.902 -0.409
-8.497 4.080 1.882
-1.499 0.204 -0.417
-13.851 6.421 -0.096
-11.462 3.868 0.548
-10.885 6.633 1.237
-4.664 1.114 0.925
-4.465 -0.008 -1.750
```

Computed properties:
Mass density   4.76 g/cm³
Volume   17.22 Å³ per atom
DOS at the Fermi energy   0.628 states/eV/atom
M_tot   0.000 μB per formula unit

=====

2) NaAlTc: optimized geometry, PBE.

Cell and atoms, written as POSCAR:
```
NaAlTc
1.0
-0.984 -2.179 1.550
3.392 -2.200 -0.940
5.397 4.998 7.779
Al Na Tc
2 2 2
Cartesian
3.983 -0.851 2.615
3.823 1.470 5.773
0.772 -1.664 2.095
7.034 2.283 6.293
5.571 1.110 3.758
2.235 -0.490 4.631
```

Computed properties:
Mass density   3.92 g/cm³
Volume   20.91 Å³ per atom
DOS at the Fermi energy   0.696 states/eV/atom
M_tot   0.000 μB per formula unit

=====

Of them, 1) has the lowest stability.

=====

1) NaAlTc: optimized geometry, PBE.

Cell and atoms, written as POSCAR:
```
NaAlTc
1.0
2.894 0.000 0.000
0.000 4.036 0.000
0.000 0.000 10.511
Al Tc Na
2 2 2
Cartesian
0.000 0.000 6.589
0.000 0.000 3.931
1.447 2.018 5.069
1.447 2.018 7.369
0.000 0.000 9.581
1.447 2.018 1.799
```

Computed properties:
Mass density   4.00 g/cm³
Volume   20.46 Å³ per atom
DOS at the Fermi energy   0.879 states/eV/atom
M_tot   0.000 μB per formula unit

=====

2) NaAlTc: optimized geometry, PBE.

Cell and atoms, written as POSCAR:
```
NaAlTc
1.0
-1.164 -1.694 1.841
4.815 -4.231 -0.838
5.063 0.409 5.580
Na Al Tc
2 2 2
Cartesian
7.816 -2.689 5.159
1.122 -0.646 0.897
4.587 -4.196 3.931
3.645 -1.881 5.454
6.995 -4.635 2.988
3.221 -2.241 2.797
```

Computed properties:
Mass density   4.00 g/cm³
Volume   20.47 Å³ per atom
DOS at the Fermi energy   0.498 states/eV/atom
M_tot   0.000 μB per formula unit

=====

Of them, 2) has the lowest stability.

=====

1) NaAl2Tc2: optimized geometry, PBE.

Cell and atoms, written as POSCAR:
```
NaAl2Tc2
1.0
7.953 0.000 0.000
0.000 7.953 0.000
0.000 0.000 2.651
Al Na Tc
4 2 4
Cartesian
6.536 2.559 1.325
2.559 1.418 1.325
1.418 5.394 1.325
5.394 6.536 1.325
0.000 0.000 0.000
3.977 3.977 0.000
7.030 4.900 0.000
3.054 7.030 0.000
0.923 3.054 0.000
4.900 0.923 0.000
```

Computed properties:
Mass density   5.41 g/cm³
Volume   16.77 Å³ per atom
DOS at the Fermi energy   1.014 states/eV/atom
M_tot   0.000 μB per formula unit

=====

2) NaAl2Tc2: optimized geometry, PBE.

Cell and atoms, written as POSCAR:
```
NaAl2Tc2
1.0
6.990 0.000 0.000
0.000 6.990 0.000
0.000 0.000 3.240
Tc Na Al
4 2 4
Cartesian
1.135 4.631 1.620
4.631 5.855 1.620
2.360 1.135 1.620
5.855 2.360 1.620
3.495 3.495 0.000
0.000 0.000 0.000
6.072 4.414 0.000
4.414 0.919 0.000
0.919 2.577 0.000
2.577 6.072 0.000
```

Computed properties:
Mass density   5.73 g/cm³
Volume   15.83 Å³ per atom
DOS at the Fermi energy   1.071 states/eV/atom
M_tot   0.000 μB per formula unit

=====

Of them, 2) has the lowest stability.

=====

1) Na3AlTe3: optimized geometry, PBE.

Cell and atoms, written as POSCAR:
```
Na3AlTe3
1.0
-5.463 5.485 1.204
-3.934 -2.454 -6.672
-11.397 -11.611 1.181
Na Te Al
12 12 4
Cartesian
-15.001 -3.182 -2.644
-4.045 -2.968 -4.701
-13.789 -3.131 1.672
-15.220 -8.728 -4.814
-8.348 -2.521 -0.772
-5.574 0.148 0.527
-16.749 -5.613 0.414
-14.212 -8.472 -0.454
-7.005 -5.450 -5.959
-6.582 -0.108 -3.833
-12.446 -6.060 -3.515
-5.793 -5.398 -1.644
-9.706 -0.649 -3.161
-12.763 -3.128 -4.956
-15.471 -6.388 -2.556
-11.088 -7.931 -1.126
-9.055 -4.920 -3.527
-14.239 -11.242 -3.050
-5.323 -2.192 -1.731
-6.555 2.662 -1.237
-18.360 -9.035 -4.388
-11.739 -3.660 -0.760
-8.031 -5.452 0.669
-2.434 0.455 0.101
-10.879 -2.973 -3.169
-9.915 -5.607 -1.118
-17.774 -7.577 -2.315
-3.020 -1.003 -1.972
```

Computed properties:
Mass density   3.52 g/cm³
Volume   32.24 Å³ per atom
DOS at the Fermi energy   0.000 states/eV/atom
M_tot   0.000 μB per formula unit

=====

2) Na3AlTe3: optimized geometry, PBE.

Cell and atoms, written as POSCAR:
```
Na3AlTe3
1.0
8.173 0.090 0.023
-3.560 7.358 0.023
-0.667 -1.077 7.628
Na Al Te
6 2 6
Cartesian
1.467 2.368 4.979
5.381 1.820 0.023
-1.866 5.563 3.838
-0.768 5.629 0.023
5.812 0.808 3.838
2.479 4.003 2.697
3.214 5.189 6.568
0.732 1.183 1.107
-0.598 3.152 2.111
0.858 5.503 5.564
3.953 6.383 1.611
4.545 3.220 5.564
-0.007 -0.011 6.064
3.088 0.868 2.111
```

Computed properties:
Mass density   3.44 g/cm³
Volume   32.97 Å³ per atom
DOS at the Fermi energy   0.000 states/eV/atom
M_tot   0.000 μB per formula unit

=====

Of them, 2) has the lowest stability.

=====

1) NaTi3Al: optimized geometry, PBE.

Cell and atoms, written as POSCAR:
```
NaTi3Al
1.0
-2.187 -4.231 -1.198
3.259 -0.661 -3.614
2.953 -2.405 3.102
Ti Na Al
3 1 1
Cartesian
-1.094 -2.116 -0.599
1.476 -1.202 1.551
1.630 -0.331 -1.807
2.012 -3.649 -0.855
0.000 0.000 0.000
```

Computed properties:
Mass density   2.71 g/cm³
Volume   23.70 Å³ per atom
DOS at the Fermi energy   1.481 states/eV/atom
M_tot   3.773 μB per formula unit

=====

2) NaTi3Al: optimized geometry, PBE.

Cell and atoms, written as POSCAR:
```
NaTi3Al
1.0
-4.568 0.005 -0.887
-0.520 -3.787 2.654
-0.719 2.705 3.718
Na Ti Al
1 3 1
Cartesian
0.000 0.000 0.000
-0.359 1.352 1.859
-0.260 -1.893 1.327
-2.284 0.003 -0.444
-2.903 -0.538 2.742
```

Computed properties:
Mass density   3.19 g/cm³
Volume   20.15 Å³ per atom
DOS at the Fermi energy   1.206 states/eV/atom
M_tot   0.000 μB per formula unit

=====

Of them, 2) has the lowest stability.